Entry 1:
DFT (PBE-GGA) results for crystalline GaBi3S at its relaxed geometry.

Values from the calculation:
- Size of the total moment: 0.00 μB per formula unit
- Density of states at the Fermi level: 1.524 states/eV per atom
- Offset from the most stable computed form: 0 kJ/mol of formula units
- E_form (uncorrected): 424 meV/atom

a b c (Å): 5.4443 5.4443 5.4443
angles (deg): 90.00 90.00 90.00
Closest atoms and distances in Å follow each position.
Element x y z (fractional)
Ga (0.0000, 0.0000, 0.0000)  12 Bi 3.85
Bi (0.0000, 0.5000, 0.5000)  2 S 2.72
Bi (0.5000, 0.0000, 0.5000)  2 S 2.72
Bi (0.5000, 0.5000, 0.0000)  2 S 2.72
S (0.5000, 0.5000, 0.5000)  6 Bi 2.72

---

Entry 2:
DFT (PBE-GGA) results for crystalline GeS2Br at its relaxed geometry.

Values from the calculation:
- Size of the total moment: 0.00 μB per formula unit
- Density of states at the Fermi level: 1.094 states/eV per atom
- Offset from the most stable computed form: 325 kJ/mol of formula units
- E_form (uncorrected): 700 meV/atom

a b c (Å): 4.7887 4.7887 4.7887
angles (deg): 60.00 60.00 60.00
Closest atoms and distances in Å follow each position.
Element x y z (fractional)
Ge (0.0000, 0.0000, 0.0000)  8 S 2.93
S (0.2500, 0.2500, 0.2500)  4 Br 2.93, 4 Ge 2.93
S (0.7500, 0.7500, 0.7500)  4 Ge 2.93, 4 Br 2.93
Br (0.5000, 0.5000, 0.5000)  8 S 2.93

---

Entry 3:
DFT (PBE-GGA) results for crystalline TiGaCu at its relaxed geometry.

Values from the calculation:
- Size of the total moment: 0.47 μB per formula unit
- Density of states at the Fermi level: 0.876 states/eV per atom
- Formation energy: -29 kJ/mol of atoms

a b c (Å): 5.1120 5.1120 5.1120
angles (deg): 131.61 112.15 87.64
Closest atoms and distances in Å follow each position.
Element x y z (fractional)
Ti (0.2461, 0.0000, 0.2461)  6 Cu 2.80-2.87, 6 Ga 2.80-2.84, 2 Ti 2.81-2.90
Ti (0.7539, 0.0000, 0.7539)  6 Cu 2.80-2.87, 6 Ga 2.80-2.84, 2 Ti 2.81-2.90
Ga (0.3286, 0.3286, 0.0000)  2 Cu 2.42, 1 Ga 2.53
Ga (0.6714, 0.6714, 0.0000)  2 Cu 2.42, 1 Ga 2.53
Cu (0.1644, 0.6644, 0.5000)  2 Ga 2.42, 1 Cu 2.43
Cu (0.8356, 0.3356, 0.5000)  2 Ga 2.42, 1 Cu 2.43

---

Entry 4:
DFT (PBE-GGA) results for crystalline CeNd12Sm3 at its relaxed geometry.

Values from the calculation:
- Size of the total moment: 0.99 μB per formula unit
- Density of states at the Fermi level: 1.732 states/eV per atom
- Formation energy: 3 kJ/mol of atoms

a b c (Å): 5.1839 5.1839 20.7011
angles (deg): 90.00 90.00 90.00
Closest atoms and distances in Å follow each position.
Element x y z (fractional)
Ce (0.0000, 0.0000, 0.0000)  12 Nd 3.63-3.67
Nd (0.0000, 0.5000, 0.1229)  2 Ce 3.63, 8 Nd 3.63-3.70, 2 Sm 3.68
Nd (0.0000, 0.5000, 0.3743)  8 Nd 3.65-3.67, 4 Sm 3.67
Nd (0.0000, 0.5000, 0.6257)  8 Nd 3.65-3.67, 4 Sm 3.67
Nd (0.0000, 0.5000, 0.8771)  2 Ce 3.63, 8 Nd 3.63-3.70, 2 Sm 3.68
Nd (0.5000, 0.0000, 0.1229)  2 Ce 3.63, 8 Nd 3.63-3.70, 2 Sm 3.68
Nd (0.5000, 0.0000, 0.3743)  8 Nd 3.65-3.67, 4 Sm 3.67
Nd (0.5000, 0.0000, 0.6257)  8 Nd 3.65-3.67, 4 Sm 3.67
Nd (0.5000, 0.0000, 0.8771)  2 Ce 3.63, 8 Nd 3.63-3.70, 2 Sm 3.68
Nd (0.5000, 0.5000, 0.0000)  8 Nd 3.63, 4 Ce 3.67
Nd (0.5000, 0.5000, 0.2502)  8 Nd 3.65-3.70, 4 Sm 3.67
Nd (0.5000, 0.5000, 0.5000)  4 Sm 3.67, 8 Nd 3.67
Nd (0.5000, 0.5000, 0.7498)  8 Nd 3.65-3.70, 4 Sm 3.67
Sm (0.0000, 0.0000, 0.2489)  12 Nd 3.67-3.68
Sm (0.0000, 0.0000, 0.5000)  12 Nd 3.67
Sm (0.0000, 0.0000, 0.7511)  12 Nd 3.67-3.68

---

Entry 5:
DFT (PBE-GGA) results for crystalline Nd3Dy4Se8 at its relaxed geometry.

Values from the calculation:
- Size of the total moment: 0.00 μB per formula unit
- Density of states at the Fermi level: 0.441 states/eV per atom
- E_form (uncorrected): -1844 meV/atom

a b c (Å): 8.2750 8.2750 8.2544
angles (deg): 119.88 119.88 90.03
Closest atoms and distances in Å follow each position.
Element x y z (fractional)
Nd (0.0000, 0.0000, 0.0000)  6 Se 2.98
Nd (0.0000, 0.5000, 0.0000)  6 Se 2.93
Nd (0.5000, 0.0000, 0.0000)  6 Se 2.93
Dy (0.0000, 0.5000, 0.5000)  6 Se 2.92-2.93
Dy (0.5000, 0.0000, 0.5000)  6 Se 2.92-2.93
Dy (0.5000, 0.5000, 0.0000)  6 Se 2.87-2.88
Dy (0.5000, 0.5000, 0.5000)  6 Se 2.92-2.93
Se (0.2504, 0.7496, 0.5000)  3 Dy 2.92, 2 Nd 2.93
Se (0.2542, 0.2542, 0.5086)  4 Dy 2.88-2.93, 1 Nd 2.98
Se (0.2544, 0.7456, 0.0000)  3 Dy 2.87-2.93, 3 Nd 2.93-2.98
Se (0.2553, 0.2553, 0.0017)  2 Dy 2.87-2.92, 3 Nd 2.93-2.98
Se (0.7447, 0.7447, 0.9983)  2 Dy 2.87-2.92, 3 Nd 2.93-2.98
Se (0.7456, 0.2544, 0.0000)  3 Dy 2.87-2.93, 3 Nd 2.93-2.98
Se (0.7458, 0.7458, 0.4914)  4 Dy 2.88-2.93, 1 Nd 2.98
Se (0.7496, 0.2504, 0.5000)  3 Dy 2.92, 2 Nd 2.93

---

Entry 6:
DFT (PBE-GGA) results for crystalline TbY3Au2 at its relaxed geometry.

Values from the calculation:
- Size of the total moment: 0.00 μB per formula unit
- Density of states at the Fermi level: 1.434 states/eV per atom
- Offset from the most stable computed form: 104 kJ/mol of formula units
- Formation energy: -44 kJ/mol of atoms

a b c (Å): 8.6179 8.6179 8.6179
angles (deg): 131.73 72.39 129.57
Closest atoms and distances in Å follow each position.
Element x y z (fractional)
Tb (0.0000, 0.0000, 0.0000)  2 Au 2.86
Tb (0.5000, 0.5000, 0.0000)  2 Au 2.86
Y (0.0165, 0.2500, 0.7665)  4 Au 2.92-3.05
Y (0.2500, 0.7500, 0.5000)  4 Au 3.06
Y (0.4835, 0.2500, 0.2335)  4 Au 2.92-3.05
Y (0.5165, 0.7500, 0.7665)  4 Au 2.92-3.05
Y (0.7500, 0.2500, 0.5000)  4 Au 3.06
Y (0.9835, 0.7500, 0.2335)  4 Au 2.92-3.05
Au (0.1414, 0.7063, 0.8477)  1 Tb 2.86, 6 Y 2.92-3.06
Au (0.3586, 0.2063, 0.5649)  1 Tb 2.86, 6 Y 2.92-3.06
Au (0.6414, 0.7937, 0.4351)  1 Tb 2.86, 6 Y 2.92-3.06
Au (0.8586, 0.2937, 0.1523)  1 Tb 2.86, 6 Y 2.92-3.06

---

Entry 7:
DFT (PBE-GGA) results for crystalline K2In2Sn3 at its relaxed geometry.

Values from the calculation:
- Size of the total moment: 0.00 μB per formula unit
- Density of states at the Fermi level: 0.442 states/eV per atom
- Formation energy: -16 kJ/mol of atoms

a b c (Å): 6.8716 6.8716 8.2284
angles (deg): 115.26 115.26 41.00
Closest atoms and distances in Å follow each position.
Element x y z (fractional)
K (0.1512, 0.1512, 0.2992)  7 Sn 3.62-4.02, 4 In 3.69-3.86, 2 K 3.94
K (0.8488, 0.8488, 0.7008)  7 Sn 3.62-4.02, 4 In 3.69-3.86, 2 K 3.94
In (0.1531, 0.1531, 0.7695)  5 Sn 3.05-3.26
In (0.8469, 0.8469, 0.2305)  5 Sn 3.05-3.26
Sn (0.4069, 0.4069, 0.0606)  2 Sn 2.99-3.25, 3 In 3.05
Sn (0.5000, 0.5000, 0.5000)  2 Sn 3.25, 4 In 3.26
Sn (0.5931, 0.5931, 0.9394)  2 Sn 2.99-3.25, 3 In 3.05

---

Entry 8:
DFT (PBE-GGA) results for crystalline NaSrAl2Cl8 at its relaxed geometry.

Values from the calculation:
- Size of the total moment: 0.32 μB per formula unit
- Density of states at the Fermi level: 0.201 states/eV per atom
- E_form (uncorrected): -1569 meV/atom

a b c (Å): 6.6532 6.6532 11.1954
angles (deg): 90.00 90.00 120.00
Closest atoms and distances in Å follow each position.
Element x y z (fractional)
Na (0.0000, 0.0000, 0.0000)  6 Cl 3.94
Sr (0.0000, 0.0000, 0.5000)  6 Cl 2.97
Al (0.3333, 0.6667, 0.7302)  4 Cl 2.12-2.20
Al (0.6667, 0.3333, 0.2698)  4 Cl 2.12-2.20
Cl (0.0183, 0.3677, 0.6571)  1 Al 2.20
Cl (0.3333, 0.6667, 0.9197)  1 Al 2.12
Cl (0.3494, 0.9817, 0.6571)  1 Al 2.20
Cl (0.3677, 0.3494, 0.3429)  1 Al 2.20
Cl (0.6323, 0.6506, 0.6571)  1 Al 2.20
Cl (0.6506, 0.0183, 0.3429)  1 Al 2.20
Cl (0.6667, 0.3333, 0.0803)  1 Al 2.12
Cl (0.9817, 0.6323, 0.3429)  1 Al 2.20

---

Entry 9:
DFT (PBE-GGA) results for crystalline RbAl2 at its relaxed geometry.

Values from the calculation:
- Size of the total moment: 0.00 μB per formula unit
- Density of states at the Fermi level: 0.835 states/eV per atom
- Formation energy: 29 kJ/mol of atoms

a b c (Å): 6.1139 6.1139 6.1139
angles (deg): 60.00 60.00 60.00
Closest atoms and distances in Å follow each position.
Element x y z (fractional)
Rb (0.1250, 0.1250, 0.1250)  12 Al 3.58, 4 Rb 3.74
Rb (0.8750, 0.8750, 0.8750)  12 Al 3.58, 4 Rb 3.74
Al (0.0000, 0.5000, 0.5000)  6 Al 3.06
Al (0.5000, 0.0000, 0.5000)  6 Al 3.06
Al (0.5000, 0.5000, 0.0000)  6 Al 3.06
Al (0.5000, 0.5000, 0.5000)  6 Al 3.06

---

Entry 10:
DFT (PBE-GGA) results for crystalline U2HN2O2 at its relaxed geometry.

Values from the calculation:
- Size of the total moment: 3.02 μB per formula unit
- Density of states at the Fermi level: 1.241 states/eV per atom
- Uncorrected energy: -9.359 eV per atom

a b c (Å): 3.7027 3.7027 7.6676
angles (deg): 90.00 90.00 120.00
Closest atoms and distances in Å follow each position.
Element x y z (fractional)
U (0.3333, 0.6667, 0.1917)  4 N 2.24-2.27, 3 O 2.42
U (0.6667, 0.3333, 0.8083)  4 N 2.24-2.27, 3 O 2.42
H (0.0000, 0.0000, 0.5000)  2 O 1.22
N (0.3333, 0.6667, 0.8952)  4 U 2.24-2.27
N (0.6667, 0.3333, 0.1048)  4 U 2.24-2.27
O (0.0000, 0.0000, 0.3407)  1 H 1.22
O (0.0000, 0.0000, 0.6593)  1 H 1.22

---

Entry 11:
DFT (PBE-GGA) results for crystalline Ca2DyAg2Se4 at its relaxed geometry.

Values from the calculation:
- Size of the total moment: 0.00 μB per formula unit
- Density of states at the Fermi level: 0.258 states/eV per atom
- E_form (uncorrected): -1227 meV/atom

a b c (Å): 8.2007 8.2007 7.8015
angles (deg): 117.84 117.84 28.35
Closest atoms and distances in Å follow each position.
Element x y z (fractional)
Ca (0.1393, 0.1393, 0.0749)  5 Se 2.98-3.10, 1 Ag 3.13
Ca (0.8607, 0.8607, 0.9251)  5 Se 2.98-3.10, 1 Ag 3.13
Dy (0.0000, 0.0000, 0.5000)  6 Se 2.87-2.93
Ag (0.3140, 0.3140, 0.4986)  3 Se 2.66-2.79, 2 Ag 2.87
Ag (0.6860, 0.6860, 0.5014)  3 Se 2.66-2.79, 2 Ag 2.87
Se (0.2030, 0.2030, 0.7642)  2 Ag 2.79, 1 Dy 2.87, 3 Ca 2.98-3.04
Se (0.4978, 0.4978, 0.7707)  1 Ag 2.66, 2 Dy 2.93
Se (0.5022, 0.5022, 0.2293)  1 Ag 2.66, 2 Dy 2.93
Se (0.7970, 0.7970, 0.2358)  2 Ag 2.79, 1 Dy 2.87, 3 Ca 2.98-3.04

---

Entry 12:
DFT (PBE-GGA) results for crystalline La4ScNi at its relaxed geometry.

Values from the calculation:
- Size of the total moment: 0.00 μB per formula unit
- Density of states at the Fermi level: 1.682 states/eV per atom
- Formation energy: 62 kJ/mol of atoms

a b c (Å): 6.4134 6.4134 6.4134
angles (deg): 60.00 60.00 60.00
Closest atoms and distances in Å follow each position.
Element x y z (fractional)
La (0.1240, 0.1240, 0.1240)  6 La 3.18-3.23
La (0.1240, 0.1240, 0.6281)  6 La 3.18-3.23
La (0.1240, 0.6281, 0.1240)  6 La 3.18-3.23
La (0.6281, 0.1240, 0.1240)  6 La 3.18-3.23
Sc (0.5000, 0.5000, 0.5000)  12 La 3.76, 4 Ni 3.93
Ni (0.7500, 0.7500, 0.7500)  12 La 3.76, 4 Sc 3.93